The following is a PBE calculation of a relaxed BaNi5H11 crystal, from Alexandria via LeMat-Bulk.

Lattice parameters (Å, degrees): 6.460 8.185 6.441 90.00 118.27 90.00
Space group C2/m (No. 12)
Inequivalent atoms, fractional coordinates:
Ba1 0.000 0.000 0.000
Ni1 0.000 0.500 0.000
Ni2 0.089 0.344 0.369
H1 0.000 0.500 0.500
H2 0.090 0.343 0.910
H3 0.195 0.270 0.634
H4 0.208 0.500 0.292

Calculated values
Its raw total energy is -139.90 eV/cell. The calculation puts the density of states at the Fermi level at 3.04 states/eV/f.u. For the spin magnetization, the calculation gives 0.0 μB/cell.

=====

The following is a PBE calculation of a relaxed La3Sm2In crystal, from Alexandria via LeMat-Bulk.

Lattice parameters (Å, degrees): 6.952 7.024 9.039 74.17 74.61 76.22
Space group P-1 (No. 2)
Inequivalent atoms, fractional coordinates:
La1 0.121 0.048 0.191
La2 0.255 0.243 0.501
La3 0.369 0.845 0.852
Sm1 0.071 0.551 0.157
Sm2 0.453 0.369 0.793
In1 0.233 0.731 0.540

Calculated values
The calculation puts the distance to the lowest polymorph of the same formula at 0.0 kJ per mole of atoms. Its raw total energy is -55.79 eV/cell. The calculation puts the density of states at the Fermi level at 7.14 states/eV/f.u. For the spin magnetization, the calculation gives 0.0 μB/cell.

=====

The following is a PBE calculation of a relaxed KPuTl2Br6 crystal, from Alexandria via LeMat-Bulk.

Lattice parameters (Å, degrees): 7.803 8.655 13.439 90.00 122.31 90.00
Space group P2_1/c (No. 14)
Inequivalent atoms, fractional coordinates:
K1 0.000 0.000 0.000
Pu1 0.500 0.000 0.500
Tl1 0.202 0.077 0.731
Br1 0.148 0.173 0.452
Br2 0.258 0.721 0.421
Br3 0.403 0.067 0.265

Calculated values
Its raw total energy is -86.72 eV/cell. The calculation puts the density of states at the Fermi level at 10.51 states/eV/f.u. The value obtained for the uncorrected formation energy is -1316 meV/atom. For the spin magnetization, the calculation gives 10.0 μB/cell.

=====

The following is a PBE calculation of a relaxed BN crystal, from Alexandria via LeMat-Bulk.

Lattice parameters (Å, degrees): 2.5552 2.5552 4.2256 90.00 90.00 120.00
Space group P6_3mc (No. 186)
Inequivalent atoms, fractional coordinates:
B1 0.3333 0.6667 0.0000
N1 0.3333 0.6667 0.6254

Calculated values
The calculation puts the distance to the lowest polymorph of the same formula at 9.1 kJ per mole of atoms. Its raw total energy is -34.78 eV/cell. The calculation puts the density of states at the Fermi level at 0.00 states/eV/f.u. The value obtained for the uncorrected formation energy is -1192 meV/atom. For the spin magnetization, the calculation gives 0.0 μB/cell.

=====

Look up the spin magnetization of the third one. 10.0 μB/cell